(1)
The following is a PBE-GGA calculation of Ni2RuPt after structural relaxation, from Alexandria.

a b c (Å): 2.693 2.693 7.130
angles (deg): 90.00 90.00 90.00
Atoms (fractional coordinates):
Ru  0.500  0.500  0.770
Ni  0.000  0.000  0.007
Ni  0.500  0.500  0.232
Pt  0.000  0.000  0.492

Summary:
DOS(E_F): 5.91 states/eV/f.u.
SG: No. 99

---

(2)
The following is a PBE-GGA calculation of NiRuPt6 after structural relaxation, from Alexandria.

a b c (Å): 3.924 3.924 7.767
angles (deg): 90.00 90.00 90.00
Atoms (fractional coordinates):
Pt  0.500  0.500  0.000
Pt  0.500  0.000  0.248
Pt  0.500  0.500  0.500
Pt  0.500  0.000  0.752
Pt  0.000  0.500  0.248
Pt  0.000  0.500  0.752
Ni  0.000  0.000  0.000
Ru  0.000  0.000  0.500

Summary:
DOS(E_F): 13.50 states/eV/f.u.
SG: No. 123

---

(3)
The following is a PBE-GGA calculation of Ni2RuPt8 after structural relaxation, from Alexandria.

a b c (Å): 3.908 7.292 7.212
angles (deg): 120.37 105.72 90.00
Atoms (fractional coordinates):
Ni  0.824  0.324  0.648
Ni  0.176  0.676  0.352
Pt  0.842  0.842  0.685
Pt  0.338  0.571  0.676
Pt  0.662  0.895  0.324
Pt  0.338  0.105  0.676
Pt  0.000  0.288  0.000
Pt  0.662  0.429  0.324
Pt  0.000  0.712  0.000
Pt  0.158  0.158  0.315
Ru  0.500  0.000  0.000

Summary:
DOS(E_F): 15.04 states/eV/f.u.
SG: No. 71

---

(4)
The following is a PBE-GGA calculation of Ni2RuPt4 after structural relaxation, from Alexandria.

a b c (Å): 2.725 3.862 9.984
angles (deg): 90.00 97.84 90.00
Atoms (fractional coordinates):
Ru  0.500  0.000  0.000
Pt  0.352  0.000  0.704
Pt  0.648  0.000  0.296
Pt  0.070  0.500  0.139
Pt  0.930  0.500  0.861
Ni  0.799  0.500  0.597
Ni  0.201  0.500  0.403

Summary:
DOS(E_F): 11.92 states/eV/f.u.
SG: No. 65

---

(5)
The following is a PBE-GGA calculation of Ni2RuPt after structural relaxation, from Alexandria.

a b c (Å): 2.627 2.627 8.792
angles (deg): 90.00 90.00 118.35
Atoms (fractional coordinates):
Pt  0.500  0.500  0.250
Ni  0.000  0.000  0.993
Ni  0.000  0.000  0.507
Ru  0.500  0.500  0.750

Summary:
DOS(E_F): 6.32 states/eV/f.u.
SG: No. 65

---

(6)
The following is a PBE-GGA calculation of Ni2RuPt after structural relaxation, from Alexandria.

a b c (Å): 3.802 3.802 3.570
angles (deg): 90.00 90.00 90.00
Atoms (fractional coordinates):
Ru  0.000  0.500  0.500
Ni  0.000  0.000  0.000
Ni  0.500  0.500  0.000
Pt  0.500  0.000  0.500

Summary:
DOS(E_F): 6.53 states/eV/f.u.
SG: No. 123

---

Record order is preserved below.
Total magnetic moment: 0.82, 0.96, 3.87, 2.06, 0.56, 0.00 μB/cell
Record order is preserved below.
Electronic total energy: -6.668, -6.436, -6.256, -6.308, -6.525, -6.652 eV/atom
Record order is preserved below.
Energy relative to the elements: 0.052, -0.023, 0.031, 0.121, 0.195, 0.067 eV/atom